# 1
LiTlNiMo | OQMD via LeMat-Bulk | PBE-GGA | optimized geometry; calculated volume = 60 Å³ per cell; space group = F-43m (216); energy relative to the lowest polymorph listed for this composition = 0.000 eV per atom; crystal system = cubic; ρ = 10.18 g/cm3
1.0
0.012 -4.091 1.586
-3.142 -2.822 -1.188
0.963 -3.372 -2.636
Mo Ni Tl Li
1 1 1 1
Cartesian
-1.084 -5.143 -1.119
-1.626 -7.714 -1.679
0.000 0.000 0.000
-0.542 -2.571 -0.560


# 2
DyYPO | OQMD via LeMat-Bulk | PBE-GGA | optimized geometry; calculated volume = 176 Å³ per cell; space group = Pmc2_1 (26); energy relative to the lowest polymorph listed for this composition = 0.000 eV per atom; crystal system = orthorhombic; ρ = 5.63 g/cm3
1.0
-0.214 1.171 -3.961
-7.462 0.959 0.686
0.830 5.356 1.538
O Y Dy P
2 2 2 2
Cartesian
-4.388 6.003 -0.148
-2.224 2.994 -1.154
-4.358 3.807 -0.799
-2.091 6.247 -0.200
-1.151 2.542 0.814
-5.169 5.790 1.990
-5.924 3.136 1.247
-0.402 5.158 1.546


# 3
ScGaFeAu | OQMD via LeMat-Bulk | PBE-GGA | optimized geometry; calculated volume = 67 Å³ per cell; space group = F-43m (216); energy relative to the lowest polymorph listed for this composition = 0.005 eV per atom; crystal system = cubic; ρ = 9.11 g/cm3
1.0
-1.878 -3.857 -1.542
-4.361 -0.944 0.933
-3.125 0.153 -3.315
Fe Sc Ga Au
1 1 1 1
Cartesian
-7.023 -3.486 -2.943
-2.341 -1.162 -0.981
0.000 0.000 0.000
-4.682 -2.324 -1.962


# 4
TaFeNiSb | OQMD via LeMat-Bulk | PBE-GGA | optimized geometry; calculated volume = 58 Å³ per cell; space group = F-43m (216); energy relative to the lowest polymorph listed for this composition = 0.000 eV per atom; crystal system = cubic; ρ = 11.92 g/cm3
1.0
0.955 -4.238 0.187
-2.909 -2.945 -1.332
0.693 -2.236 -3.665
Ta Sb Fe Ni
1 1 1 1
Cartesian
-0.630 -4.710 -2.405
0.000 0.000 0.000
-0.946 -7.065 -3.608
-0.315 -2.355 -1.203


# 5
LuZnCuIr | OQMD via LeMat-Bulk | PBE-GGA | optimized geometry; calculated volume = 65 Å³ per cell; space group = F-43m (216); energy relative to the lowest polymorph listed for this composition = 0.000 eV per atom; ΔE_f = -0.4006 eV/atom; crystal system = cubic; ρ = 12.60 g/cm3
1.0
0.000 3.198 3.198
3.198 0.000 3.198
3.198 3.198 0.000
Cu Ir Lu Zn
1 1 1 1
Cartesian
4.797 4.797 4.797
1.599 1.599 1.599
3.198 3.198 3.198
0.000 0.000 0.000


# 6
GdCuAu | OQMD via LeMat-Bulk | PBE-GGA | optimized geometry; calculated volume = 65 Å³ per cell; space group = F-43m (216); ΔE_f = -0.3902 eV/atom; crystal system = cubic; ρ = 10.63 g/cm3
1.0
2.201 -3.945 0.102
-2.238 -3.812 0.938
-0.703 -3.064 -3.246
Cu Au Gd
1 1 1
Cartesian
0.000 0.000 0.000
-0.185 -2.705 -0.552
-0.555 -8.116 -1.655


# 7
ErAl3 | OQMD via LeMat-Bulk | PBE-GGA | optimized geometry; calculated volume = 154 Å³ per cell; space group = P6_3/mmc (194); VASP energy = -4.364 eV per atom; crystal system = hexagonal; ρ = 5.34 g/cm3
1.0
-3.373 -3.094 4.177
3.456 -3.101 -4.103
3.582 0.083 2.954
Al Er
6 2
Cartesian
0.330 -3.033 5.160
3.335 -3.079 -2.132
1.422 -1.363 0.139
2.197 -1.320 2.848
2.243 -4.749 2.889
1.468 -4.792 0.180
-0.201 -3.076 2.156
3.866 -3.036 0.872


# 8
TaCo5 | OQMD via LeMat-Bulk | PBE-GGA | optimized geometry; calculated volume = 298 Å³ per cell; space group = P6_3/mmc (194); ΔE_f = 0.1682 eV/atom; crystal system = hexagonal; ρ = 10.61 g/cm3
1.0
-0.511 1.504 -4.389
-2.696 -3.451 1.613
-10.641 10.587 4.865
Co Ta
20 4
Cartesian
-9.787 9.737 4.475
-0.854 0.850 0.391
-4.466 4.443 2.042
-6.924 4.320 1.045
-6.669 3.568 3.239
-10.260 6.841 1.056
-5.013 -0.026 1.886
-10.915 7.102 3.703
-8.565 7.870 2.523
-5.283 0.769 -0.434
-3.588 1.798 1.034
-1.603 -0.974 -1.388
-0.255 0.752 -2.194
-8.982 5.179 2.819
-6.175 6.143 2.823
-4.866 3.460 -0.730
-1.348 -1.726 0.806
-2.933 1.537 -1.614
-5.576 6.045 0.238
-8.835 8.665 0.203
-7.930 6.509 0.671
-5.918 2.130 1.418
-10.510 9.075 1.851
-3.338 -0.436 0.239


> Number 7 is which compound?

ErAl3


> Which of these has the lowest ρ?

ErAl3


> The lowest ρ belongs to which entry?

ErAl3


> What is the formula in the first record?

LiTlNiMo